[1]
Tm5Si2Hg2: relaxed, PBE.

```
data_Tm5Si2Hg2
_chemical_formula_sum 'Tm20 Si8 Hg8'
_cell_length_a 15.678
_cell_length_b 7.431
_cell_length_c 7.431
_cell_angle_alpha 90.00
_cell_angle_beta 90.00
_cell_angle_gamma 90.00
_symmetry_space_group_name_H-M 'C m c e'
_symmetry_Int_Tables_number 64
_symmetry_space_group_name_Hall '-C 2ac 2'
loop_
_atom_site_label
_atom_site_type_symbol
_atom_site_fract_x
_atom_site_fract_y
_atom_site_fract_z
_atom_site_occupancy
Tm1 Tm 0.000 0.000 0.000 1
Tm2 Tm 0.127 0.180 0.325 1
Si1 Si 0.000 0.120 0.623 1
Hg1 Hg 0.217 0.000 0.000 1
```

Summary:
D(E_F)	0.6184	states/eV per atom
E	-157.049	eV/cell
density	9.99	g/cm³
ΔE_f (raw)	-0.606	eV/atom

[2]
Tm4Si2Hg5: relaxed, PBE.

```
data_Tm4Si2Hg5
_chemical_formula_sum 'Tm4 Si2 Hg5'
_cell_length_a 7.608
_cell_length_b 3.735
_cell_length_c 9.038
_cell_angle_alpha 90.00
_cell_angle_beta 95.49
_cell_angle_gamma 90.00
_symmetry_space_group_name_H-M 'P 1 2/m 1'
_symmetry_Int_Tables_number 10
loop_
_symmetry_equiv_pos_as_xyz
'x,y,z'
'-x,-y,-z'
'-x,y,-z'
'x,-y,z'
loop_
_atom_site_label
_atom_site_type_symbol
_atom_site_fract_x
_atom_site_fract_y
_atom_site_fract_z
_atom_site_occupancy
Tm1 Tm 0.187 0.000 0.352 1
Tm2 Tm 0.234 0.000 0.926 1
Si1 Si 0.068 0.500 0.122 1
Hg1 Hg 0.153 0.500 0.635 1
Hg2 Hg 0.455 0.500 0.169 1
Hg3 Hg 0.500 0.500 0.500 1
```

Summary:
D(E_F)	0.4938	states/eV per atom
E	-35.098	eV/cell
density	11.27	g/cm³
ΔE_f (raw)	-0.442	eV/atom

[3]
Tm2Si2Hg: relaxed, PBE.

```
data_Tm2Si2Hg
_chemical_formula_sum 'Tm4 Si4 Hg2'
_cell_length_a 7.073
_cell_length_b 7.073
_cell_length_c 4.135
_cell_angle_alpha 90.00
_cell_angle_beta 90.00
_cell_angle_gamma 90.00
_symmetry_space_group_name_H-M 'P 4/m b m'
_symmetry_Int_Tables_number 127
_symmetry_space_group_name_Hall '-P 4 2ab'
loop_
_atom_site_label
_atom_site_type_symbol
_atom_site_fract_x
_atom_site_fract_y
_atom_site_fract_z
_atom_site_occupancy
Tm1 Tm 0.177 0.323 0.000 1
Si1 Si 0.118 0.618 0.500 1
Hg1 Hg 0.000 0.000 0.500 1
```

Summary:
D(E_F)	0.2857	states/eV per atom
E	-46.364	eV/cell
density	9.55	g/cm³
ΔE_f (raw)	-0.618	eV/atom

[4]
Tm5Si2Hg: relaxed, PBE.

```
data_Tm5Si2Hg
_chemical_formula_sum 'Tm20 Si8 Hg4'
_cell_length_a 7.479
_cell_length_b 7.479
_cell_length_c 13.903
_cell_angle_alpha 90.00
_cell_angle_beta 90.00
_cell_angle_gamma 90.00
_symmetry_space_group_name_H-M 'I 4/m c m'
_symmetry_Int_Tables_number 140
_symmetry_space_group_name_Hall '-I 4 2c'
loop_
_atom_site_label
_atom_site_type_symbol
_atom_site_fract_x
_atom_site_fract_y
_atom_site_fract_z
_atom_site_occupancy
Tm1 Tm 0.000 0.000 0.000 1
Tm2 Tm 0.168 0.332 0.141 1
Si1 Si 0.129 0.371 0.500 1
Hg1 Hg 0.000 0.000 0.250 1
```

Summary:
D(E_F)	0.6946	states/eV per atom
E	-153.074	eV/cell
density	9.41	g/cm³
ΔE_f (raw)	-0.595	eV/atom